Entry 1:
Density functional theory data (PBE-GGA) for TlGa2Sn4 after structural relaxation.

Geometry as POSCAR:
```
TlGa2Sn4
1.0
4.689 0.000 0.000
0.000 4.789 -1.304
0.000 -0.251 8.528
Tl Sn Ga
1 4 2
Direct
0.000 0.000 0.000
0.500 0.830 0.659
0.000 0.686 0.372
0.500 0.170 0.341
0.000 0.314 0.628
0.500 0.577 0.155
0.500 0.423 0.845
```

Results
E_tot (eV/atom): -3.43
Symmetry: Cmmm, No. 65
Energy above the most stable polymorph in this dataset (eV per atom): 0.0000
ΔE_f (eV per atom): 0.056

Entry 2:
Density functional theory data (PBE-GGA) for MnPS2 after structural relaxation.

Geometry as POSCAR:
```
MnPS2
1.0
1.870 0.000 7.489
-0.935 1.619 7.489
-0.935 -1.619 7.489
P S Mn
1 2 1
Direct
0.000 0.000 0.000
0.893 0.893 0.893
0.107 0.107 0.107
0.500 0.500 0.500
```

Results
E_tot (eV/atom): -5.77
Symmetry: R-3m, No. 166
Formation energy (no corrections) (eV per atom): -0.065

Entry 3:
Density functional theory data (PBE-GGA) for CaCuSbTe2 after structural relaxation.

Geometry as POSCAR:
```
CaCuSbTe2
1.0
-5.402 1.705 -1.057
-1.745 -5.492 0.060
-0.990 0.377 5.668
Sb Ca Te Cu
1 1 2 1
Direct
0.000 0.000 0.500
0.000 0.000 0.000
0.000 0.500 0.000
0.500 0.000 0.000
0.500 0.500 0.500
```

Results
E_tot (eV/atom): -2.65
Symmetry: P4/mmm, No. 123
Formation energy (no corrections) (eV per atom): 0.647
Energy above the most stable polymorph in this dataset (eV per atom): 0.8461

Entry 4:
Density functional theory data (PBE-GGA) for MnBi2TePd after structural relaxation.

Geometry as POSCAR:
```
MnBi2TePd
1.0
-1.633 0.232 4.933
2.710 -4.103 1.090
4.069 3.008 1.205
Mn Te Bi Pd
1 1 2 1
Direct
0.000 0.000 0.000
0.000 0.500 0.000
0.000 0.000 0.500
0.500 0.000 0.000
0.500 0.500 0.500
```

Results
E_tot (eV/atom): -4.54
Symmetry: P4/mmm, No. 123
Formation energy (no corrections) (eV per atom): 0.509

Entry 5:
Density functional theory data (PBE-GGA) for LiMg2Zn2Ag2 after structural relaxation.

Geometry as POSCAR:
```
LiMg2Zn2Ag2
1.0
-3.682 1.914 0.558
0.956 -3.666 3.166
2.999 4.852 3.146
Li Mg Zn Ag
1 2 2 2
Direct
0.000 0.000 0.000
0.590 0.180 0.726
0.410 0.820 0.274
0.134 0.268 0.433
0.866 0.732 0.567
0.699 0.398 0.158
0.301 0.602 0.842
```

Results
E_tot (eV/atom): -2.07
Symmetry: C2/m, No. 12
ΔE_f (eV per atom): -0.160

Entry 6:
Density functional theory data (PBE-GGA) for Li2ErAg after structural relaxation.

Geometry as POSCAR:
```
Li2ErAg
1.0
4.778 0.000 0.000
2.389 4.138 0.000
2.389 1.379 3.901
Li Ag Er
2 1 1
Direct
0.250 0.250 0.250
0.750 0.750 0.750
0.500 0.500 0.500
0.000 0.000 0.000
```

Results
E_tot (eV/atom): -2.78
Symmetry: Fm-3m, No. 225
Energy above the most stable polymorph in this dataset (eV per atom): 0.0673
ΔE_f (eV per atom): 0.026

Calculated volume, 27.14 17.00 38.30 27.25 17.17 19.28 Å³/atom (same order as the records).